A relaxed structure of BIrC2, computed with GGA-PBE.

Cell lengths 2.7781, 2.7926, 5.0708 Å; angles 95.45, 91.83, 106.01 degrees
Closest atoms and distances in Å follow each position.
Element x y z (fractional)
C1 0.0350 0.8997 0.9846  2 B 1.56-1.58
C2 0.2370 0.3713 0.5499  1 B 1.57
B1 0.1144 0.4018 0.8499  3 C 1.56-1.58
Ir1 0.5460 0.9299 0.3173  5 C 2.00-2.21

total DFT energy (no corrections): -31.25 eV for the cell shown
space group: P1
total magnetic moment: 0.0 μB per cell